Record 1
A relaxed structure of Ba3InIr. Source: Alexandria via LeMat-Bulk, functional GGA-PBEsol.

Calculated formation energy = -0.0633 eV/atom
Symmetry = Pm-3m

CIF file:
```
data_Ba3InIr
_chemical_formula_sum 'Ba3 In1 Ir1'
_space_group_name_H-M_alt 'P 1'
_space_group_IT_number 1
_cell_length_a 5.940
_cell_length_b 5.940
_cell_length_c 5.940
_cell_angle_alpha 90.00
_cell_angle_beta 90.00
_cell_angle_gamma 90.00
loop_
_space_group_symop_operation_xyz
'x,y,z'
loop_
_atom_site_label
_atom_site_type_symbol
_atom_site_fract_x
_atom_site_fract_y
_atom_site_fract_z
_atom_site_occupancy
Ba1 Ba 0.000 0.000 0.500 1
Ba2 Ba 0.000 0.500 0.000 1
Ba3 Ba 0.500 0.000 0.000 1
In1 In 0.500 0.500 0.500 1
Ir1 Ir 0.000 0.000 0.000 1
```

---

Record 2
A relaxed structure of CaSb2O4. Source: Alexandria via LeMat-Bulk, functional GGA-PBEsol.

Offset from the most stable computed form = 16.6 kJ/mol of formula units
Formation energy (no corrections) = -1785 meV per atom
Symmetry = P1

CIF file:
```
data_CaSb2O4
_chemical_formula_sum 'Ca6 Sb12 O24'
_space_group_name_H-M_alt 'P 1'
_space_group_IT_number 1
_cell_length_a 6.386
_cell_length_b 6.850
_cell_length_c 18.281
_cell_angle_alpha 88.24
_cell_angle_beta 89.53
_cell_angle_gamma 63.70
loop_
_space_group_symop_operation_xyz
'x,y,z'
loop_
_atom_site_label
_atom_site_type_symbol
_atom_site_fract_x
_atom_site_fract_y
_atom_site_fract_z
_atom_site_occupancy
Ca1 Ca 0.000 0.000 0.000 1
Ca2 Ca 0.024 0.900 0.647 1
Ca3 Ca 0.173 0.692 0.842 1
Ca4 Ca 0.550 0.931 0.508 1
Ca5 Ca 0.629 0.480 0.339 1
Ca6 Ca 0.842 0.221 0.173 1
Sb1 Sb 0.056 0.448 0.522 1
Sb2 Sb 0.069 0.886 0.400 1
Sb3 Sb 0.210 0.149 0.830 1
Sb4 Sb 0.373 0.325 0.023 1
Sb5 Sb 0.418 0.184 0.666 1
Sb6 Sb 0.422 0.114 0.320 1
Sb7 Sb 0.433 0.740 0.117 1
Sb8 Sb 0.559 0.426 0.510 1
Sb9 Sb 0.661 0.697 0.942 1
Sb10 Sb 0.672 0.216 0.838 1
Sb11 Sb 0.776 0.550 0.714 1
Sb12 Sb 0.954 0.688 0.246 1
O1 O 0.038 0.477 0.786 1
O2 O 0.066 0.006 0.768 1
O3 O 0.156 0.517 0.623 1
O4 O 0.165 0.019 0.115 1
O5 O 0.183 0.631 0.327 1
O6 O 0.258 0.642 0.048 1
O7 O 0.268 0.051 0.604 1
O8 O 0.326 0.884 0.916 1
O9 O 0.396 0.758 0.434 1
O10 O 0.425 0.382 0.918 1
O11 O 0.523 0.175 0.413 1
O12 O 0.561 0.549 0.800 1
O13 O 0.597 0.233 0.261 1
O14 O 0.615 0.820 0.045 1
O15 O 0.666 0.150 0.588 1
O16 O 0.681 0.257 0.061 1
O17 O 0.681 0.802 0.312 1
O18 O 0.706 0.860 0.704 1
O19 O 0.725 0.578 0.563 1
O20 O 0.812 0.889 0.911 1
O21 O 0.838 0.336 0.448 1
O22 O 0.930 0.235 0.897 1
O23 O 0.935 0.417 0.250 1
O24 O 0.954 0.763 0.483 1
```

---

Record 3
A relaxed structure of Co2Re. Source: Alexandria via LeMat-Bulk, functional GGA-PBEsol.

Calculated formation energy = 0.0088 eV/atom
Offset from the most stable computed form = 28.0 kJ/mol of formula units
Symmetry = C2/m

CIF file:
```
data_Co2Re
_chemical_formula_sum 'Co4 Re2'
_space_group_name_H-M_alt 'P 1'
_space_group_IT_number 1
_cell_length_a 4.780
_cell_length_b 4.780
_cell_length_c 6.014
_cell_angle_alpha 104.45
_cell_angle_beta 104.45
_cell_angle_gamma 31.52
loop_
_space_group_symop_operation_xyz
'x,y,z'
loop_
_atom_site_label
_atom_site_type_symbol
_atom_site_fract_x
_atom_site_fract_y
_atom_site_fract_z
_atom_site_occupancy
Co1 Co 0.145 0.145 0.030 1
Co2 Co 0.197 0.197 0.636 1
Co3 Co 0.803 0.803 0.364 1
Co4 Co 0.855 0.855 0.970 1
Re1 Re 0.475 0.475 0.702 1
Re2 Re 0.525 0.525 0.298 1
```

---

Record 4
A relaxed structure of Mg2ScCr3S8. Source: Alexandria via LeMat-Bulk, functional GGA-PBEsol.

Formation energy (no corrections) = -1100 meV per atom
Symmetry = R-3m

CIF file:
```
data_Mg2ScCr3S8
_chemical_formula_sum 'Mg2 Sc1 Cr3 S8'
_space_group_name_H-M_alt 'P 1'
_space_group_IT_number 1
_cell_length_a 7.202
_cell_length_b 7.202
_cell_length_c 7.202
_cell_angle_alpha 60.15
_cell_angle_beta 60.15
_cell_angle_gamma 60.15
loop_
_space_group_symop_operation_xyz
'x,y,z'
loop_
_atom_site_label
_atom_site_type_symbol
_atom_site_fract_x
_atom_site_fract_y
_atom_site_fract_z
_atom_site_occupancy
Mg1 Mg 0.125 0.125 0.125 1
Mg2 Mg 0.875 0.875 0.875 1
Sc1 Sc 0.500 0.500 0.500 1
Cr1 Cr 0.000 0.500 0.500 1
Cr2 Cr 0.500 0.000 0.500 1
Cr3 Cr 0.500 0.500 0.000 1
S1 S 0.252 0.252 0.716 1
S2 S 0.252 0.716 0.252 1
S3 S 0.264 0.264 0.264 1
S4 S 0.284 0.748 0.748 1
S5 S 0.716 0.252 0.252 1
S6 S 0.736 0.736 0.736 1
S7 S 0.748 0.284 0.748 1
S8 S 0.748 0.748 0.284 1
```

---

Record 5
A relaxed structure of InCoSnS2. Source: Alexandria via LeMat-Bulk, functional GGA-PBEsol.

Formation energy (no corrections) = 1086 meV per atom
Symmetry = P4/mmm

CIF file:
```
data_InCoSnS2
_chemical_formula_sum 'In1 Co1 Sn1 S2'
_space_group_name_H-M_alt 'P 1'
_space_group_IT_number 1
_cell_length_a 4.955
_cell_length_b 4.955
_cell_length_c 5.491
_cell_angle_alpha 90.00
_cell_angle_beta 90.00
_cell_angle_gamma 90.00
loop_
_space_group_symop_operation_xyz
'x,y,z'
loop_
_atom_site_label
_atom_site_type_symbol
_atom_site_fract_x
_atom_site_fract_y
_atom_site_fract_z
_atom_site_occupancy
In1 In 0.000 0.000 0.000 1
Co1 Co 0.500 0.500 0.000 1
Sn1 Sn 0.000 0.000 0.500 1
S1 S 0.000 0.500 0.500 1
S2 S 0.500 0.000 0.500 1
```

---

Record 6
A relaxed structure of NdB4. Source: Alexandria via LeMat-Bulk, functional GGA-PBEsol.

Calculated formation energy = -0.6102 eV/atom
Offset from the most stable computed form = 0.0 kJ/mol of formula units
Symmetry = P4/mbm

CIF file:
```
data_NdB4
_chemical_formula_sum 'Nd4 B16'
_space_group_name_H-M_alt 'P 1'
_space_group_IT_number 1
_cell_length_a 7.193
_cell_length_b 7.193
_cell_length_c 4.087
_cell_angle_alpha 90.00
_cell_angle_beta 90.00
_cell_angle_gamma 90.00
loop_
_space_group_symop_operation_xyz
'x,y,z'
loop_
_atom_site_label
_atom_site_type_symbol
_atom_site_fract_x
_atom_site_fract_y
_atom_site_fract_z
_atom_site_occupancy
Nd1 Nd 0.184 0.316 0.000 1
Nd2 Nd 0.316 0.816 0.000 1
Nd3 Nd 0.684 0.184 0.000 1
Nd4 Nd 0.816 0.684 0.000 1
B1 B 0.000 0.000 0.205 1
B2 B 0.000 0.000 0.795 1
B3 B 0.039 0.825 0.500 1
B4 B 0.088 0.588 0.500 1
B5 B 0.175 0.039 0.500 1
B6 B 0.325 0.539 0.500 1
B7 B 0.412 0.088 0.500 1
B8 B 0.461 0.325 0.500 1
B9 B 0.500 0.500 0.205 1
B10 B 0.500 0.500 0.795 1
B11 B 0.539 0.675 0.500 1
B12 B 0.588 0.912 0.500 1
B13 B 0.675 0.461 0.500 1
B14 B 0.825 0.961 0.500 1
B15 B 0.912 0.412 0.500 1
B16 B 0.961 0.175 0.500 1
```

---

Record 7
A relaxed structure of SmCu5Sn. Source: Alexandria via LeMat-Bulk, functional GGA-PBEsol.

Calculated formation energy = -0.2714 eV/atom
Symmetry = Pnma

CIF file:
```
data_SmCu5Sn
_chemical_formula_sum 'Sm4 Cu20 Sn4'
_space_group_name_H-M_alt 'P 1'
_space_group_IT_number 1
_cell_length_a 8.162
_cell_length_b 4.946
_cell_length_c 10.464
_cell_angle_alpha 90.00
_cell_angle_beta 90.00
_cell_angle_gamma 90.00
loop_
_space_group_symop_operation_xyz
'x,y,z'
loop_
_atom_site_label
_atom_site_type_symbol
_atom_site_fract_x
_atom_site_fract_y
_atom_site_fract_z
_atom_site_occupancy
Sm1 Sm 0.247 0.250 0.061 1
Sm2 Sm 0.253 0.750 0.561 1
Sm3 Sm 0.747 0.250 0.439 1
Sm4 Sm 0.753 0.750 0.939 1
Cu1 Cu 0.060 0.750 0.103 1
Cu2 Cu 0.070 0.001 0.312 1
Cu3 Cu 0.070 0.499 0.312 1
Cu4 Cu 0.082 0.250 0.517 1
Cu5 Cu 0.182 0.250 0.743 1
Cu6 Cu 0.318 0.750 0.243 1
Cu7 Cu 0.418 0.750 0.017 1
Cu8 Cu 0.430 0.501 0.812 1
Cu9 Cu 0.430 0.999 0.812 1
Cu10 Cu 0.440 0.250 0.603 1
Cu11 Cu 0.560 0.750 0.397 1
Cu12 Cu 0.570 0.001 0.188 1
Cu13 Cu 0.570 0.499 0.188 1
Cu14 Cu 0.582 0.250 0.983 1
Cu15 Cu 0.682 0.250 0.757 1
Cu16 Cu 0.818 0.750 0.257 1
Cu17 Cu 0.918 0.750 0.483 1
Cu18 Cu 0.930 0.501 0.688 1
Cu19 Cu 0.930 0.999 0.688 1
Cu20 Cu 0.940 0.250 0.897 1
Sn1 Sn 0.139 0.750 0.861 1
Sn2 Sn 0.361 0.250 0.361 1
Sn3 Sn 0.639 0.750 0.639 1
Sn4 Sn 0.861 0.250 0.139 1
```

---

Record 8
A relaxed structure of YFe2Se. Source: Alexandria via LeMat-Bulk, functional GGA-PBEsol.

Formation energy (no corrections) = -38 meV per atom
Symmetry = I4/mmm

CIF file:
```
data_YFe2Se
_chemical_formula_sum 'Y1 Fe2 Se1'
_space_group_name_H-M_alt 'P 1'
_space_group_IT_number 1
_cell_length_a 5.305
_cell_length_b 5.305
_cell_length_c 5.305
_cell_angle_alpha 137.93
_cell_angle_beta 137.93
_cell_angle_gamma 61.00
loop_
_space_group_symop_operation_xyz
'x,y,z'
loop_
_atom_site_label
_atom_site_type_symbol
_atom_site_fract_x
_atom_site_fract_y
_atom_site_fract_z
_atom_site_occupancy
Y1 Y 0.000 0.000 0.000 1
Fe1 Fe 0.250 0.750 0.500 1
Fe2 Fe 0.750 0.250 0.500 1
Se1 Se 0.500 0.500 0.000 1
```

---

Record 9
A relaxed structure of TaTcMo2. Source: Alexandria via LeMat-Bulk, functional GGA-PBEsol.

Calculated formation energy = -0.1616 eV/atom
Offset from the most stable computed form = 0.3 kJ/mol of formula units
Symmetry = P4mm

CIF file:
```
data_TaTcMo2
_chemical_formula_sum 'Ta1 Tc1 Mo2'
_space_group_name_H-M_alt 'P 1'
_space_group_IT_number 1
_cell_length_a 3.136
_cell_length_b 3.136
_cell_length_c 6.294
_cell_angle_alpha 90.00
_cell_angle_beta 90.00
_cell_angle_gamma 90.00
loop_
_space_group_symop_operation_xyz
'x,y,z'
loop_
_atom_site_label
_atom_site_type_symbol
_atom_site_fract_x
_atom_site_fract_y
_atom_site_fract_z
_atom_site_occupancy
Ta1 Ta 0.000 0.000 0.000 1
Tc1 Tc 0.500 0.500 0.248 1
Mo1 Mo 0.000 0.000 0.500 1
Mo2 Mo 0.500 0.500 0.740 1
```

---

Record order is preserved below.
Raw total energy: -19.57; -268.43; -57.56; -91.24; -18.32; -145.13; -131.69; -28.75; -48.00 eV/cell
Record order is preserved below.
Total magnetic moment: 0.00; 0.00; 2.93; 9.00; 2.79; 0.00; 0.00; 4.45; 0.00 μB per cell